(1)
The following is a DFT calculation (PBE) of CaMg5 after structural relaxation.

Computed properties:
* SG: Cmmm, No. 65

Unit cell a=7.2447 b=7.2447 c=4.8513 alpha=90.00 beta=90.00 gamma=142.76
Closest atoms and distances in Å follow each position.
Positions (direct):
Ca: 0.9722 0.0278 0.0000  12 Mg 3.35-3.37
Mg: 0.8020 0.1980 0.5000  10 Mg 3.19-3.35, 2 Ca 3.37
Mg: 0.6487 0.3513 0.0000  10 Mg 3.07-3.43, 2 Ca 3.35
Mg: 0.4722 0.5278 0.5000  8 Mg 3.29-3.43, 4 Ca 3.35
Mg: 0.2958 0.7042 0.0000  10 Mg 3.07-3.43, 2 Ca 3.35
Mg: 0.1424 0.8576 0.5000  10 Mg 3.19-3.35, 2 Ca 3.37

(2)
The following is a DFT calculation (PBE) of CaMg5 after structural relaxation.

Computed properties:
* SG: Amm2, No. 38

Unit cell a=8.5854 b=8.5854 c=5.3453 alpha=90.00 beta=90.00 gamma=156.71
Closest atoms and distances in Å follow each position.
Positions (direct):
Ca: 0.0046 0.9954 0.0000  10 Mg 3.32-3.43, 2 Ca 3.47
Mg: 0.2176 0.7824 0.5000  12 Mg 3.15-3.47
Mg: 0.3285 0.6715 0.0000  10 Mg 3.10-3.47, 2 Ca 3.43
Mg: 0.5611 0.4389 0.5000  8 Mg 3.15-3.51, 4 Ca 3.32
Mg: 0.6755 0.3245 0.0000  10 Mg 3.10-3.47, 2 Ca 3.36
Mg: 0.8793 0.1207 0.5000  10 Mg 3.22-3.51, 2 Ca 3.40

(3)
The following is a DFT calculation (PBE) of Ca4Mg5 after structural relaxation.

Computed properties:
* SG: I4/mmm, No. 139
* offset from the most stable computed form: 0.0 meV per atom

Unit cell a=10.3993 b=10.3993 c=7.7871 alpha=48.11 beta=48.11 gamma=90.00
Closest atoms and distances in Å follow each position.
Positions (direct):
Ca: 0.0000 0.3134 0.0000  7 Mg 3.26-3.59
Ca: 0.0000 0.6866 0.0000  7 Mg 3.26-3.59
Ca: 0.3134 0.0000 0.0000  7 Mg 3.26-3.59
Ca: 0.6866 0.0000 0.0000  7 Mg 3.26-3.59
Mg: 0.0000 0.0000 0.0000  4 Ca 3.26, 8 Mg 3.44
Mg: 0.3442 0.3442 0.0000  4 Mg 3.24-3.44, 6 Ca 3.45-3.59
Mg: 0.3442 0.6558 0.0000  4 Mg 3.24-3.44, 6 Ca 3.45-3.59
Mg: 0.6558 0.3442 0.0000  4 Mg 3.24-3.44, 6 Ca 3.45-3.59
Mg: 0.6558 0.6558 0.0000  4 Mg 3.24-3.44, 6 Ca 3.45-3.59

(4)
The following is a DFT calculation (PBE) of CaMg5 after structural relaxation.

Computed properties:
* SG: Amm2, No. 38

Unit cell a=5.2358 b=5.8228 c=5.8228 alpha=120.11 beta=90.00 gamma=90.00
Closest atoms and distances in Å follow each position.
Positions (direct):
Ca: 0.5000 0.3327 0.3327  12 Mg 3.36-3.43
Mg: 0.0000 0.7129 0.7129  8 Mg 3.15-3.19, 2 Ca 3.43
Mg: 0.5000 0.6659 0.9997  9 Mg 3.19-3.37, 3 Ca 3.36
Mg: 0.0000 0.9547 0.3340  8 Mg 3.15-3.19, 2 Ca 3.42
Mg: 0.5000 0.9997 0.6659  9 Mg 3.19-3.37, 3 Ca 3.36
Mg: 0.0000 0.3340 0.9547  8 Mg 3.15-3.19, 2 Ca 3.42

(5)
The following is a DFT calculation (PBE) of CaMg4 after structural relaxation.

Computed properties:
* SG: Im-3m, No. 229
* offset from the most stable computed form: 607.2 meV per atom

Unit cell a=6.3402 b=6.3402 c=6.3402 alpha=109.47 beta=109.47 gamma=109.47
Closest atoms and distances in Å follow each position.
Positions (direct):
Ca: 0.0000 0.0000 0.0000  8 Mg 3.17
Mg: 0.5000 0.0000 0.0000  2 Ca 3.17
Mg: 0.5000 0.5000 0.5000  2 Ca 3.17
Mg: 0.0000 0.5000 0.0000  2 Ca 3.17
Mg: 0.0000 0.0000 0.5000  2 Ca 3.17

(6)
The following is a DFT calculation (PBE) of Ca5Mg after structural relaxation.

Computed properties:
* SG: Cmmm, No. 65
* offset from the most stable computed form: 29.4 meV per atom

Unit cell a=4.3863 b=9.1057 c=5.9044 alpha=90.00 beta=90.00 gamma=103.94
Closest atoms and distances in Å follow each position.
Positions (direct):
Ca: 0.9720 0.9440 0.0000  8 Ca 3.67-3.68
Ca: 0.3057 0.6114 0.0000  8 Ca 3.67-3.68
Ca: 0.6389 0.2779 0.0000  8 Ca 3.67-4.04, 4 Mg 3.68
Ca: 0.4829 0.9658 0.5000  2 Mg 3.52, 4 Ca 3.68
Ca: 0.7949 0.5898 0.5000  2 Mg 3.52, 4 Ca 3.68
Mg: 0.1389 0.2778 0.5000  8 Ca 3.52-3.68

(7)
The following is a DFT calculation (PBE) of Ca4Mg3 after structural relaxation.

Computed properties:
* SG: R-3, No. 148
* offset from the most stable computed form: 0.0 meV per atom

Unit cell a=7.0050 b=8.9889 c=8.9889 alpha=113.50 beta=105.06 gamma=105.06
Closest atoms and distances in Å follow each position.
Positions (direct):
Ca: 0.5000 0.0000 0.0000  6 Mg 3.43, 2 Ca 3.50
Ca: 0.0000 0.0000 0.0000  8 Ca 3.50-3.64, 6 Mg 3.91
Ca: 0.9250 0.7003 0.5530  7 Mg 3.43-3.54, 2 Ca 3.64-3.84
Ca: 0.3721 0.4470 0.1474  7 Mg 3.43-3.54, 2 Ca 3.64-3.84
Ca: 0.2247 0.8526 0.2997  7 Mg 3.43-3.54, 2 Ca 3.64-3.84
Ca: 0.0750 0.2997 0.4470  7 Mg 3.43-3.54, 2 Ca 3.64-3.84
Ca: 0.6279 0.5530 0.8526  7 Mg 3.43-3.54, 2 Ca 3.64-3.84
Ca: 0.7753 0.1474 0.7003  7 Mg 3.43-3.54, 2 Ca 3.64-3.84
Mg: 0.1378 0.5832 0.8658  8 Ca 3.43-3.54
Mg: 0.2720 0.1342 0.7174  8 Ca 3.43-3.54
Mg: 0.5546 0.2826 0.4168  8 Ca 3.43-3.54
Mg: 0.8622 0.4168 0.1342  8 Ca 3.43-3.54
Mg: 0.7280 0.8658 0.2826  8 Ca 3.43-3.54
Mg: 0.4454 0.7174 0.5832  8 Ca 3.43-3.54

(8)
The following is a DFT calculation (PBE) of Ca5Mg after structural relaxation.

Computed properties:
* SG: F-43m, No. 216
* offset from the most stable computed form: 215.5 meV per atom

Unit cell a=7.0319 b=7.0319 c=7.0319 alpha=60.00 beta=60.00 gamma=60.00
Closest atoms and distances in Å follow each position.
Positions (direct):
Ca: 0.8757 0.3748 0.3748  6 Ca 3.51-3.52
Ca: 0.7500 0.7500 0.7500  12 Ca 4.12, 4 Mg 4.31
Ca: 0.3748 0.8757 0.3748  6 Ca 3.51-3.52
Ca: 0.3748 0.3748 0.3748  6 Ca 3.51-3.52
Ca: 0.3748 0.3748 0.8757  6 Ca 3.51-3.52
Mg: 0.0000 0.0000 0.0000  16 Ca 4.12-4.31

no.,calculated density (kg/m3),uncorrected energy (eV per atom)
1,1742,-1.69
2,1723,-1.64
3,1689,-1.80
4,1747,-1.69
5,1162,-1.09
6,1630,-1.92
7,1695,-1.88
8,1518,-1.74